Entry 1:
Compound: La2PmIr2
Source: the Alexandria database
Functional: PBE
Structure: optimized geometry

calculated formation energy: -0.65 eV per atom
energy above the lowest structure with this stoichiometry: 0.0000 eV per atom

a b c (Å): 5.9158 4.3680 11.0753
angles (deg): 90.00 101.79 90.00
Last column: nearest neighbours and their distance in Å.
Sites, in units of the cell vectors:
La  0.0578  0.2500  0.2906  3 Ir 2.87-3.12
La  0.3990  0.2500  0.6250  6 Ir 3.02-3.19
La  0.6010  0.7500  0.3750  6 Ir 3.02-3.19
La  0.9422  0.7500  0.7094  3 Ir 2.87-3.12
Pm  0.2926  0.7500  0.0380  3 Ir 2.83-2.92
Pm  0.7074  0.2500  0.9620  3 Ir 2.83-2.92
Ir  0.1494  0.7500  0.4612  6 La 2.87-3.19, 2 Ir 3.04
Ir  0.4958  0.7500  0.8190  3 Pm 2.83-2.92, 3 La 3.03-3.12
Ir  0.5042  0.2500  0.1810  3 Pm 2.83-2.92, 3 La 3.03-3.12
Ir  0.8506  0.2500  0.5388  6 La 2.87-3.19, 2 Ir 3.04

=====

Entry 2:
Compound: NdZrNiRh
Source: the Alexandria database
Functional: PBE
Structure: optimized geometry

calculated formation energy: -0.38 eV per atom

a b c (Å): 6.7882 6.7882 6.7882
angles (deg): 90.00 90.00 90.00
Last column: nearest neighbours and their distance in Å.
Sites, in units of the cell vectors:
Nd  0.0000  0.0000  0.0000  4 Ni 2.94, 4 Rh 2.94
Nd  0.0000  0.5000  0.5000  4 Ni 2.94, 4 Rh 2.94
Nd  0.5000  0.0000  0.5000  4 Ni 2.94, 4 Rh 2.94
Nd  0.5000  0.5000  0.0000  4 Ni 2.94, 4 Rh 2.94
Zr  0.0000  0.0000  0.5000  4 Rh 2.94, 4 Ni 2.94
Zr  0.0000  0.5000  0.0000  4 Rh 2.94, 4 Ni 2.94
Zr  0.5000  0.0000  0.0000  4 Rh 2.94, 4 Ni 2.94
Zr  0.5000  0.5000  0.5000  4 Rh 2.94, 4 Ni 2.94
Ni  0.2500  0.2500  0.7500  4 Zr 2.94, 4 Nd 2.94
Ni  0.2500  0.7500  0.2500  4 Zr 2.94, 4 Nd 2.94
Ni  0.7500  0.2500  0.2500  4 Zr 2.94, 4 Nd 2.94
Ni  0.7500  0.7500  0.7500  4 Zr 2.94, 4 Nd 2.94
Rh  0.2500  0.2500  0.2500  4 Zr 2.94, 4 Nd 2.94
Rh  0.2500  0.7500  0.7500  4 Zr 2.94, 4 Nd 2.94
Rh  0.7500  0.2500  0.7500  4 Zr 2.94, 4 Nd 2.94
Rh  0.7500  0.7500  0.2500  4 Zr 2.94, 4 Nd 2.94

=====

Entry 3:
Compound: Ca2ScPb9
Source: the Alexandria database
Functional: PBE
Structure: optimized geometry

calculated formation energy: -0.26 eV per atom

a b c (Å): 4.9049 4.9049 14.6081
angles (deg): 90.00 90.00 90.00
Last column: nearest neighbours and their distance in Å.
Sites, in units of the cell vectors:
Ca  0.0000  0.0000  0.1711  12 Pb 3.47-3.50
Ca  0.0000  0.0000  0.8289  12 Pb 3.47-3.50
Sc  0.0000  0.0000  0.5000  12 Pb 3.39-3.47
Pb  0.0000  0.5000  0.0000  8 Pb 3.47-3.48, 4 Ca 3.50
Pb  0.0000  0.5000  0.3399  8 Pb 3.39-3.50, 2 Sc 3.39, 2 Ca 3.48
Pb  0.0000  0.5000  0.6601  8 Pb 3.39-3.50, 2 Sc 3.39, 2 Ca 3.48
Pb  0.5000  0.0000  0.0000  8 Pb 3.47-3.48, 4 Ca 3.50
Pb  0.5000  0.0000  0.3399  8 Pb 3.39-3.50, 2 Sc 3.39, 2 Ca 3.48
Pb  0.5000  0.0000  0.6601  8 Pb 3.39-3.50, 2 Sc 3.39, 2 Ca 3.48
Pb  0.5000  0.5000  0.1691  4 Ca 3.47, 8 Pb 3.48-3.50
Pb  0.5000  0.5000  0.5000  8 Pb 3.39, 4 Sc 3.47
Pb  0.5000  0.5000  0.8309  4 Ca 3.47, 8 Pb 3.48-3.50

=====

Entry 4:
Compound: Cu8Pt3Au2
Source: the Alexandria database
Functional: PBE
Structure: optimized geometry

calculated formation energy: 0.11 eV per atom

a b c (Å): 6.6025 6.6025 5.0649
angles (deg): 97.33 97.33 65.40
Last column: nearest neighbours and their distance in Å.
Sites, in units of the cell vectors:
Cu  0.0642  0.7142  0.0609  5 Cu 2.50-2.76, 2 Pt 2.58-2.67, 2 Au 2.61-2.75
Cu  0.0822  0.0822  0.3708  4 Cu 2.40-2.63, 1 Au 2.53, 2 Pt 2.55
Cu  0.2826  0.2826  0.7207  2 Au 2.51-2.56, 1 Pt 2.61, 3 Cu 2.63-2.66
Cu  0.2858  0.9358  0.9391  5 Cu 2.50-2.76, 2 Pt 2.58-2.67, 2 Au 2.61-2.75
Cu  0.7142  0.0642  0.0609  5 Cu 2.50-2.76, 2 Pt 2.58-2.67, 2 Au 2.61-2.75
Cu  0.7174  0.7174  0.2793  2 Au 2.51-2.56, 1 Pt 2.61, 3 Cu 2.63-2.66
Cu  0.9178  0.9178  0.6292  4 Cu 2.40-2.63, 1 Au 2.53, 2 Pt 2.55
Cu  0.9358  0.2858  0.9391  5 Cu 2.50-2.76, 2 Pt 2.58-2.67, 2 Au 2.61-2.75
Pt  0.3153  0.6847  0.5000  4 Cu 2.55-2.58, 3 Pt 2.63-2.85, 2 Au 2.84
Pt  0.5000  0.5000  0.0000  6 Cu 2.61-2.67, 2 Au 2.75, 4 Pt 2.85
Pt  0.6847  0.3153  0.5000  4 Cu 2.55-2.58, 3 Pt 2.63-2.85, 2 Au 2.84
Au  0.2912  0.2912  0.2283  7 Cu 2.51-2.75, 1 Pt 2.75
Au  0.7088  0.7088  0.7717  7 Cu 2.51-2.75, 1 Pt 2.75

=====

Entry 5:
Compound: Pm3AlTl
Source: the Alexandria database
Functional: PBE
Structure: optimized geometry

calculated formation energy: -0.23 eV per atom
energy above the lowest structure with this stoichiometry: 0.0219 eV per atom

a b c (Å): 7.5897 7.5897 7.5897
angles (deg): 90.00 90.00 90.00
Last column: nearest neighbours and their distance in Å.
Sites, in units of the cell vectors:
Pm  0.0000  0.0000  0.0000  8 Pm 3.50, 6 Tl 3.79
Pm  0.2663  0.2663  0.2663  3 Al 3.22, 3 Tl 3.36, 4 Pm 3.50-3.55
Pm  0.2663  0.2663  0.7337  3 Al 3.22, 3 Tl 3.36, 4 Pm 3.50-3.55
Pm  0.2663  0.7337  0.2663  3 Al 3.22, 3 Tl 3.36, 4 Pm 3.50-3.55
Pm  0.2663  0.7337  0.7337  3 Al 3.22, 3 Tl 3.36, 4 Pm 3.50-3.55
Pm  0.7337  0.2663  0.2663  3 Al 3.22, 3 Tl 3.36, 4 Pm 3.50-3.55
Pm  0.7337  0.2663  0.7337  3 Al 3.22, 3 Tl 3.36, 4 Pm 3.50-3.55
Pm  0.7337  0.7337  0.2663  3 Al 3.22, 3 Tl 3.36, 4 Pm 3.50-3.55
Pm  0.7337  0.7337  0.7337  3 Al 3.22, 3 Tl 3.36, 4 Pm 3.50-3.55
Al  0.0000  0.5000  0.5000  8 Pm 3.22
Al  0.5000  0.0000  0.5000  8 Pm 3.22
Al  0.5000  0.5000  0.0000  8 Pm 3.22
Tl  0.0000  0.0000  0.5000  8 Pm 3.36
Tl  0.0000  0.5000  0.0000  8 Pm 3.36
Tl  0.5000  0.0000  0.0000  8 Pm 3.36

=====

Entry 6:
Compound: PaZnSb2O8
Source: the Alexandria database
Functional: PBE
Structure: optimized geometry

formation energy from raw total energies: -1729 meV per atom

a b c (Å): 6.0993 6.0993 6.0993
angles (deg): 109.22 109.22 109.98
Last column: nearest neighbours and their distance in Å.
Sites, in units of the cell vectors:
Pa  0.0000  0.0000  0.0000  4 O 2.17
Zn  0.2500  0.7500  0.5000  4 O 2.20
Sb  0.5000  0.5000  0.0000  4 O 1.94
Sb  0.7500  0.2500  0.5000  4 O 1.96
O  0.3028  0.1095  0.8067  1 Sb 1.94
O  0.3028  0.4961  0.1933  1 Sb 1.94
O  0.3565  0.0543  0.3022  1 Sb 1.96, 1 Pa 2.17
O  0.5039  0.6972  0.8067  1 Sb 1.94
O  0.7521  0.0543  0.6978  1 Sb 1.96, 1 Pa 2.17
O  0.8905  0.6972  0.1933  1 Sb 1.94
O  0.9457  0.2479  0.3022  1 Sb 1.96, 1 Pa 2.17
O  0.9457  0.6435  0.6978  1 Sb 1.96, 1 Pa 2.17

=====

Entry 7:
Compound: Cu3Ni5Pt3
Source: the Alexandria database
Functional: PBE
Structure: optimized geometry

calculated formation energy: 0.35 eV per atom

a b c (Å): 8.2827 8.2827 2.6054
angles (deg): 90.00 90.00 120.00
Last column: nearest neighbours and their distance in Å.
Sites, in units of the cell vectors:
Cu  0.0000  0.8358  0.0000  4 Cu 2.36-2.61, 2 Ni 2.36, 2 Pt 2.50
Cu  0.1642  0.1642  0.0000  4 Cu 2.36-2.61, 2 Ni 2.36, 2 Pt 2.50
Cu  0.8358  0.0000  0.0000  4 Cu 2.36-2.61, 2 Ni 2.36, 2 Pt 2.50
Ni  0.0000  0.3288  0.0000  2 Cu 2.36, 2 Pt 2.44, 2 Ni 2.61
Ni  0.3288  0.0000  0.0000  2 Cu 2.36, 2 Pt 2.44, 2 Ni 2.61
Ni  0.3333  0.6667  0.0000  5 Ni 2.61-2.78, 6 Pt 2.80
Ni  0.6667  0.3333  0.0000  5 Ni 2.61-2.78, 6 Pt 2.80
Ni  0.6712  0.6712  0.0000  2 Cu 2.36, 2 Pt 2.44, 2 Ni 2.61
Pt  0.0000  0.5784  0.5000  2 Ni 2.44, 2 Cu 2.50, 2 Pt 2.61
Pt  0.4216  0.4216  0.5000  2 Ni 2.44, 2 Cu 2.50, 2 Pt 2.61
Pt  0.5784  0.0000  0.5000  2 Ni 2.44, 2 Cu 2.50, 2 Pt 2.61

=====

Entry 8:
Compound: CsSc3Ga
Source: the Alexandria database
Functional: PBE
Structure: optimized geometry

calculated formation energy: 0.41 eV per atom
energy above the lowest structure with this stoichiometry: 0.0000 eV per atom

a b c (Å): 5.3969 5.3969 5.3969
angles (deg): 90.00 90.00 90.00
Last column: nearest neighbours and their distance in Å.
Sites, in units of the cell vectors:
Cs  0.0000  0.0000  0.0000  12 Sc 3.82
Sc  0.0000  0.5000  0.5000  2 Ga 2.70
Sc  0.5000  0.0000  0.5000  2 Ga 2.70
Sc  0.5000  0.5000  0.0000  2 Ga 2.70
Ga  0.5000  0.5000  0.5000  6 Sc 2.70

=====

In states/eV per cell, the D(E_F) values for the records above are, in order, 5.86, 23.38, 4.31, 5.93, 16.57, 4.22, 15.57, 8.42.
In eV per atom, the total energy values for the records above are, in order, -7.11, -6.99, -3.90, -4.31, -4.30, -6.62, -5.04, -4.16.